[1]
LaSmZnPd | the Alexandria database | PBE | relaxed; N(E_F) = 3.1 states/eV per cell; magnetization = 0.0 μB/f.u.; crystal system = cubic; space group = No. 216
1.0
0.000 3.670 3.670
3.670 0.000 3.670
3.670 3.670 0.000
La Sm Zn Pd
1 1 1 1
direct
0.000 0.000 0.000
0.500 0.500 0.500
0.750 0.750 0.750
0.250 0.250 0.250

[2]
TmHfTh2 | the Alexandria database | PBE | relaxed; N(E_F) = 6.3 states/eV per cell; magnetization = 0.0 μB/f.u.; crystal system = trigonal; space group = No. 166
1.0
1.680 0.970 12.102
-1.680 0.970 12.102
0.000 -1.940 12.102
Tm Hf Th
1 1 2
direct
0.000 0.000 0.000
0.500 0.500 0.500
0.416 0.416 0.416
0.584 0.584 0.584

[3]
TaTl2 | the Alexandria database | PBE | relaxed; N(E_F) = 9.5 states/eV per cell; magnetization = 0.0 μB/f.u.; crystal system = hexagonal; space group = No. 194
1.0
5.648 0.000 0.000
-2.824 4.892 0.000
0.000 0.000 10.930
Ta Tl
4 8
direct
0.333 0.667 0.005
0.333 0.667 0.495
0.667 0.333 0.505
0.667 0.333 0.995
0.000 0.000 0.000
0.000 0.000 0.500
0.169 0.337 0.750
0.169 0.831 0.750
0.337 0.169 0.250
0.663 0.831 0.750
0.831 0.169 0.250
0.831 0.663 0.250

[4]
MgZr2Mo | the Alexandria database | PBE | relaxed; N(E_F) = 5.0 states/eV per cell; magnetization = 0.0 μB/f.u.; crystal system = cubic; space group = No. 225
1.0
0.000 3.421 3.421
3.421 0.000 3.421
3.421 3.421 0.000
Mg Zr Mo
1 2 1
direct
0.000 0.000 0.000
0.250 0.250 0.250
0.750 0.750 0.750
0.500 0.500 0.500

no.,energy of formation from the pure elements (eV/atom),excess energy over the best structure of this formula in the dataset (eV per formula unit)
1,-0.5131,0.111
2,0.3714,1.069
3,1.1555,2.061
4,0.0367,0.234